Entry 1:
The following is a DFT calculation (PBE) of crystalline TbNd4DyHo2 at its relaxed geometry.

Unit cell a=5.1171 b=5.1416 c=10.0932 alpha=90.00 beta=90.00 gamma=90.00
Fractional positions:
Tb: 0.0000 0.0000 0.0000
Nd: 0.0000 0.5000 0.2502
Nd: 0.0000 0.5000 0.7498
Nd: 0.5000 0.0000 0.2505
Nd: 0.5000 0.0000 0.7495
Dy: 0.5000 0.5000 0.5000
Ho: 0.0000 0.0000 0.5000
Ho: 0.5000 0.5000 0.0000

Results
N(E_F): 10.62 states/eV/f.u.
energy of formation from the pure elements: 0.02 eV per atom
electronic total energy: -37.3 eV for the cell shown
magnetization: 0.0 μB per cell

Entry 2:
The following is a DFT calculation (PBE) of crystalline Nd2Tm3ThBi6 at its relaxed geometry.

Unit cell a=10.0852 b=10.0852 c=9.0324 alpha=102.61 beta=102.61 gamma=25.94
Fractional positions:
Nd: 0.1675 0.1675 0.3359
Nd: 0.8325 0.8325 0.6641
Tm: 0.1676 0.1676 0.8327
Tm: 0.5000 0.5000 0.5000
Tm: 0.8324 0.8324 0.1673
Th: 0.5000 0.5000 0.0000
Bi: 0.0027 0.0027 0.7437
Bi: 0.3311 0.3311 0.9235
Bi: 0.3363 0.3363 0.4093
Bi: 0.6637 0.6637 0.5907
Bi: 0.6689 0.6689 0.0765
Bi: 0.9973 0.9973 0.2563

Results
N(E_F): 2.16 states/eV/f.u.
energy of formation from the pure elements: -0.81 eV per atom
electronic total energy: -63.4 eV for the cell shown
magnetization: 0.0 μB per cell